# NdMgAl2 | the Alexandria database | GGA-PBE | optimized geometry
# Space group   No. 123
# Relative energy among the computed polymorphs   116.8 meV/atom
# Energy of formation from the pure elements   -0.181 eV per atom
# Magnetization   0.0 μB/f.u.
# DOS at the Fermi energy   0.7386 states/eV per atom
data_NdMgAl2
_chemical_formula_sum 'Nd1 Mg1 Al2'
_symmetry_space_group_name_H-M 'P 1'
_symmetry_Int_Tables_number 1
_cell_length_a 3.514
_cell_length_b 3.514
_cell_length_c 7.276
_cell_angle_alpha 90.00
_cell_angle_beta 90.00
_cell_angle_gamma 90.00
loop_
_symmetry_equiv_pos_as_xyz
'x,y,z'
loop_
_atom_site_label
_atom_site_type_symbol
_atom_site_fract_x
_atom_site_fract_y
_atom_site_fract_z
_atom_site_occupancy
Nd1 Nd 0.000 0.000 0.000 1
Mg1 Mg 0.000 0.000 0.500 1
Al1 Al 0.500 0.500 0.291 1
Al2 Al 0.500 0.500 0.709 1